[1]
Below is an optimized crystal structure of AlV2AgO6, with properties calculated at the PBE+U level.

Results
* total energy: -7.00 eV/atom
* space-group type: C2/c (15)

Cell: 7.3222 7.3222 5.8940 Å, 105.33 105.33 101.96°
With the nearest neighbours (Å) after each atom.
Fractional positions:
Al1 0.1863 0.8137 0.7500  4 O 1.77-1.78
Al2 0.8137 0.1863 0.2500  4 O 1.77-1.78
V1 0.2767 0.4468 0.3353  4 O 1.75-1.92
V2 0.4468 0.2767 0.8353  4 O 1.75-1.92
V3 0.5532 0.7233 0.1647  4 O 1.75-1.92
V4 0.7233 0.5532 0.6647  4 O 1.75-1.92
Ag1 0.0956 0.9044 0.2500  2 O 2.34
Ag2 0.9044 0.0956 0.7500  2 O 2.34
O1 0.0385 0.2334 0.1866  1 Al 1.77, 1 V 1.89
O2 0.1834 0.6303 0.4798  1 V 1.75, 1 Al 1.78
O3 0.2334 0.0385 0.6866  1 Al 1.77, 1 V 1.89
O4 0.3364 0.4332 0.0349  2 V 1.88-1.92
O5 0.3697 0.8166 0.0202  1 V 1.75, 1 Al 1.78
O6 0.4332 0.3364 0.5349  2 V 1.88-1.92
O7 0.5668 0.6636 0.4651  2 V 1.88-1.92
O8 0.6303 0.1834 0.9798  1 V 1.75, 1 Al 1.78
O9 0.6636 0.5668 0.9651  2 V 1.88-1.92
O10 0.7666 0.9615 0.3134  1 Al 1.77, 1 V 1.89
O11 0.8166 0.3697 0.5202  1 V 1.75, 1 Al 1.78
O12 0.9615 0.7666 0.8134  1 Al 1.77, 1 V 1.89

***

[2]
Below is an optimized crystal structure of AlVAgO4, with properties calculated at the PBE+U level.

Results
* total energy: -6.61 eV/atom
* space-group type: P2_1/m (11)

Cell: 5.4313 5.6474 6.7202 Å, 90.00 108.96 90.00°
With the nearest neighbours (Å) after each atom.
Fractional positions:
Al1 0.2017 0.2500 0.1451  4 O 1.77-1.79
Al2 0.7983 0.7500 0.8549  4 O 1.77-1.79
V1 0.3403 0.7500 0.9861  6 O 1.92-2.12
V2 0.6597 0.2500 0.0139  6 O 1.92-2.12
Ag1 0.0510 0.7500 0.4178  2 O 2.12-2.13
Ag2 0.9490 0.2500 0.5822  2 O 2.12-2.13
O1 0.0424 0.7500 0.7313  1 Al 1.78, 1 V 1.94
O2 0.0508 0.7500 0.1012  1 Al 1.77, 1 V 1.97
O3 0.4446 0.0315 0.1539  1 Al 1.79, 1 V 1.92
O4 0.4446 0.4685 0.1539  1 Al 1.79, 1 V 1.92
O5 0.5554 0.5315 0.8461  1 Al 1.79, 1 V 1.92
O6 0.5554 0.9685 0.8461  1 Al 1.79, 1 V 1.92
O7 0.9492 0.2500 0.8988  1 Al 1.77, 1 V 1.97
O8 0.9576 0.2500 0.2687  1 Al 1.78, 1 V 1.94

***

[3]
Below is an optimized crystal structure of AlAgW2O8, with properties calculated at the PBE+U level.

Results
* ΔE to the lowest computed polymorph: 0.87 eV per formula unit
* total energy: -6.85 eV/atom
* space-group type: P-1 (2)

Cell: 5.1382 5.6834 5.7177 Å, 110.87 110.53 91.76°
With the nearest neighbours (Å) after each atom.
Fractional positions:
Al1 0.0000 0.0000 0.0000  4 O 1.86-2.06
Ag1 0.5000 0.5000 0.0000  2 O 2.03
W1 0.2534 0.6869 0.5006  4 O 1.84-2.06
W2 0.7466 0.3131 0.4994  4 O 1.84-2.06
O1 0.1323 0.4564 0.6851  1 W 1.88, 1 Ag 2.03
O2 0.2167 0.9416 0.7904  1 W 1.85, 1 Al 1.86
O3 0.2268 0.8320 0.2535  1 W 1.84, 1 Al 2.06
O4 0.3278 0.3159 0.2952  2 W 2.06-2.14, 1 Al 2.14
O5 0.6722 0.6841 0.7048  2 W 2.06-2.14, 1 Al 2.14
O6 0.7732 0.1680 0.7465  1 W 1.84, 1 Al 2.06
O7 0.7833 0.0584 0.2096  1 W 1.85, 1 Al 1.86
O8 0.8677 0.5436 0.3149  1 W 1.88, 1 Ag 2.03

***

[4]
Below is an optimized crystal structure of AlAgW2O8, with properties calculated at the PBE+U level.

Results
* ΔE to the lowest computed polymorph: 0.00 eV per formula unit
* total energy: -6.92 eV/atom
* space-group type: P2/c (13)

Cell: 5.1565 5.8643 10.4419 Å, 90.00 117.02 90.00°
With the nearest neighbours (Å) after each atom.
Fractional positions:
Al1 0.0000 0.1581 0.2500  4 O 1.86-1.99
Al2 0.0000 0.8419 0.7500  4 O 1.86-1.99
Ag1 0.5000 0.1552 0.7500  6 O 2.22-2.40
Ag2 0.5000 0.8448 0.2500  6 O 2.22-2.40
W1 0.2423 0.3325 0.0000  4 O 1.85-2.04
W2 0.2423 0.6675 0.5000  4 O 1.85-2.04
W3 0.7577 0.3325 0.5000  4 O 1.85-2.04
W4 0.7577 0.6675 0.0000  4 O 1.85-2.04
O1 0.1592 0.4000 0.6108  2 W 1.90-2.11
O2 0.1592 0.6000 0.1108  2 W 1.90-2.11
O3 0.2037 0.1656 0.1418  1 W 1.86, 1 Al 1.86
O4 0.2037 0.8344 0.6418  1 W 1.86, 1 Al 1.86
O5 0.2261 0.0935 0.8809  1 W 1.85, 1 Al 1.99
O6 0.2261 0.9065 0.3809  1 W 1.85, 1 Al 1.99
O7 0.3198 0.3840 0.3944  2 W 2.04-2.13, 1 Al 2.12
O8 0.3198 0.6160 0.8944  2 W 2.04-2.13, 1 Al 2.12
O9 0.6802 0.3840 0.1056  2 W 2.04-2.13, 1 Al 2.12
O10 0.6802 0.6160 0.6056  2 W 2.04-2.13, 1 Al 2.12
O11 0.7739 0.0935 0.6191  1 W 1.85, 1 Al 1.99
O12 0.7739 0.9065 0.1191  1 W 1.85, 1 Al 1.99
O13 0.7963 0.1656 0.3582  1 W 1.86, 1 Al 1.86
O14 0.7963 0.8344 0.8582  1 W 1.86, 1 Al 1.86
O15 0.8408 0.4000 0.8892  2 W 1.90-2.11
O16 0.8408 0.6000 0.3892  2 W 1.90-2.11

***

| no. | ρ (Mg/m³) |
| --- | --- |
| 1 | 3.9 |
| 2 | 4.3 |
| 3 | 7.3 |
| 4 | 7.4 |